GaCuI2N PBE-GGA relaxed; symmetry = No. 123; ΔE to the lowest computed polymorph = 0.000 eV/atom
1.0
5.801 0.000 0.000
0.000 5.801 0.000
0.000 0.000 3.738
Ga Cu I N
1 1 2 1
Direct
0.000 0.000 0.000 Ga
0.500 0.500 0.500 Cu
0.000 0.500 0.500 I
0.500 0.000 0.500 I
0.500 0.500 0.000 N

GaCuI2N PBE-GGA relaxed; symmetry = No. 123; ΔE to the lowest computed polymorph = 0.167 eV/atom
1.0
5.820 0.000 0.000
0.000 5.820 0.000
0.000 0.000 3.613
Ga Cu I N
1 1 2 1
Direct
0.000 0.000 0.000 Ga
0.500 0.500 0.500 Cu
0.000 0.500 0.000 I
0.500 0.000 0.000 I
0.000 0.000 0.500 N

NaGaCu2I PBE-GGA relaxed; symmetry = No. 123
1.0
5.112 0.000 0.000
0.000 5.112 0.000
0.000 0.000 5.615
Na Ga Cu I
1 1 2 1
Direct
0.000 0.000 0.000 Na
0.500 0.500 0.000 Ga
0.000 0.500 0.500 Cu
0.500 0.000 0.500 Cu
0.000 0.000 0.500 I

GaCuI2O PBE-GGA relaxed; symmetry = No. 123; ΔE to the lowest computed polymorph = 0.045 eV/atom
1.0
6.076 0.000 0.000
0.000 6.076 0.000
0.000 0.000 3.531
Ga Cu I O
1 1 2 1
Direct
0.000 0.000 0.000 Ga
0.500 0.500 0.500 Cu
0.000 0.500 0.500 I
0.500 0.000 0.500 I
0.500 0.500 0.000 O

GaCuIO6 PBE-GGA relaxed; symmetry = No. 163
1.0
5.092 0.000 0.000
-2.546 4.410 0.000
0.000 0.000 9.023
Ga Cu I O
2 2 2 12
Direct
0.333 0.667 0.250 Ga
0.667 0.333 0.750 Ga
0.000 0.000 0.000 Cu
0.000 0.000 0.500 Cu
0.333 0.667 0.750 I
0.667 0.333 0.250 I
0.012 0.360 0.633 O
0.012 0.652 0.867 O
0.348 0.360 0.867 O
0.348 0.988 0.633 O
0.360 0.012 0.133 O
0.360 0.348 0.367 O
0.640 0.652 0.633 O
0.640 0.988 0.867 O
0.652 0.012 0.367 O
0.652 0.640 0.133 O
0.988 0.348 0.133 O
0.988 0.640 0.367 O

GaCuI2O PBE-GGA relaxed; symmetry = No. 123; ΔE to the lowest computed polymorph = 0.000 eV/atom
1.0
5.744 0.000 0.000
0.000 5.744 0.000
0.000 0.000 3.604
Ga Cu I O
1 1 2 1
Direct
0.000 0.000 0.000 Ga
0.500 0.500 0.500 Cu
0.000 0.500 0.000 I
0.500 0.000 0.000 I
0.000 0.000 0.500 O

So what do the calculations give for ΔE_f (raw)? Going down the list: 2.74 3.58 3.32 -0.43 -5.93 -0.65 eV per formula unit.